1.
Computed, not measured: an optimized crystal structure of Be2HgIO6 at the PBE level of DFT.

abc: 9.728 9.027 5.933
angles: 90.00 110.05 90.00
Space group C2/c (No. 15)
Unique sites:
Be: 0.200 0.075 0.152 (multiplicity 8)
Hg: 0.000 0.407 0.250 (multiplicity 4)
I: 0.000 0.206 0.750 (multiplicity 4)
O: 0.081 0.207 0.100 (multiplicity 8)
O: 0.129 0.379 0.708 (multiplicity 8)
O: 0.166 0.050 0.832 (multiplicity 8)

Properties
* crystal system: monoclinic

---

2.
Computed, not measured: an optimized crystal structure of BeHgIO2 at the PBE level of DFT.

abc: 3.829 3.829 5.922
angles: 90.00 90.00 90.00
Space group P4/mmm (No. 123)
Unique sites:
Be: 0.000 0.000 0.000 (multiplicity 1)
Hg: 0.500 0.500 0.500 (multiplicity 1)
I: 0.000 0.000 0.500 (multiplicity 1)
O: 0.000 0.500 0.000 (multiplicity 2)

Properties
* crystal system: tetragonal
* excess energy over the best structure of this formula in the dataset: 0.00 eV per formula unit

---

3.
Computed, not measured: an optimized crystal structure of BeHgI2O at the PBE level of DFT.

abc: 7.594 7.594 2.892
angles: 90.00 90.00 90.00
Space group P4/mmm (No. 123)
Unique sites:
Be: 0.000 0.000 0.000 (multiplicity 1)
Hg: 0.500 0.500 0.500 (multiplicity 1)
I: 0.000 0.500 0.000 (multiplicity 2)
O: 0.000 0.000 0.500 (multiplicity 1)

Properties
* crystal system: tetragonal
* excess energy over the best structure of this formula in the dataset: 0.00 eV per formula unit

---

4.
Computed, not measured: an optimized crystal structure of Rb2Be2HgI6 at the PBE level of DFT.

abc: 8.548 8.792 9.712
angles: 80.26 64.41 67.95
Space group P-1 (No. 2)
Unique sites:
Rb: 0.180 0.202 0.289 (multiplicity 2)
Be: 0.204 0.064 0.728 (multiplicity 2)
Hg: 0.500 0.500 0.000 (multiplicity 1)
I: 0.034 0.329 0.688 (multiplicity 2)
I: 0.282 0.858 0.566 (multiplicity 2)
I: 0.304 0.999 0.924 (multiplicity 2)

Properties
* crystal system: triclinic

---

5.
Computed, not measured: an optimized crystal structure of Rb2BeHgI6 at the PBE level of DFT.

abc: 8.794 8.794 11.420
angles: 90.00 90.00 90.00
Space group I4/mmm (No. 139)
Unique sites:
Rb: 0.000 0.500 0.250 (multiplicity 4)
Be: 0.000 0.000 0.000 (multiplicity 2)
Hg: 0.000 0.000 0.500 (multiplicity 2)
I: 0.000 0.000 0.198 (multiplicity 4)
I: 0.236 0.236 0.500 (multiplicity 8)

Properties
* crystal system: tetragonal

---

6.
Computed, not measured: an optimized crystal structure of Be2ReHgI at the PBE level of DFT.

abc: 4.410 4.410 5.556
angles: 90.00 90.00 90.00
Space group P4/mmm (No. 123)
Unique sites:
Be: 0.000 0.500 0.000 (multiplicity 2)
Re: 0.000 0.000 0.500 (multiplicity 1)
Hg: 0.000 0.000 0.000 (multiplicity 1)
I: 0.500 0.500 0.500 (multiplicity 1)

Properties
* crystal system: tetragonal

---

no.,E (eV per atom),uncorrected formation energy (eV/f.u.),magnetization (μB/atom)
1,-4.99,-10.80,0.000
2,-3.09,0.04,0.000
3,-3.19,-3.86,0.000
4,-2.53,-8.86,0.000
5,-2.23,-7.03,0.000
6,-2.82,7.66,0.625